Record 1
! PBE Al2ZnSe3S, optimized geometry; values from VASP
! * uncorrected energy: -29.46 eV per formula unit
! * V: 23.9 Å³/atom
&SYSTEM
  ibrav = 0, nat = 7, ntyp = 4
/
ATOMIC_SPECIES
Al 26.98 Al.upf
Zn 65.41 Zn.upf
Se 78.96 Se.upf
S 32.06 S.upf
CELL_PARAMETERS angstrom
5.5419 0.0000 0.0000
-0.0723 5.5585 0.0000
-2.6804 -2.8108 5.4203
ATOMIC_POSITIONS angstrom
Al 0.0000 0.0000 0.0000
Al -0.0778 2.7687 2.7676
Zn 2.6735 2.7188 0.0009
Se 1.3329 4.2259 1.4557
Se 1.4463 1.3333 3.9816
Se 4.0888 1.2713 1.4551
S -1.3793 -1.4982 4.0667

=====

Record 2
! PBE RbGdAs, optimized geometry; values from VASP
! * uncorrected energy: -10.97 eV per formula unit
! * total magnetic moment: 0.0 μB/f.u.
! * V: 33.1 Å³/atom
&SYSTEM
  ibrav = 0, nat = 3, ntyp = 3
/
ATOMIC_SPECIES
Rb 85.47 Rb.upf
Gd 157.25 Gd.upf
As 74.92 As.upf
CELL_PARAMETERS angstrom
0.0000 3.6767 3.6767
3.6767 0.0000 3.6767
3.6767 3.6767 0.0000
ATOMIC_POSITIONS angstrom
Rb 0.0000 0.0000 0.0000
Gd 3.6767 3.6767 3.6767
As 5.5151 5.5151 5.5151

=====

Record 3
! PBE NbCl3O, optimized geometry; values from VASP
! * uncorrected energy: -28.60 eV per formula unit
! * total magnetic moment: 0.0 μB/f.u.
! * V: 23.7 Å³/atom
&SYSTEM
  ibrav = 0, nat = 20, ntyp = 3
/
ATOMIC_SPECIES
Nb 92.91 Nb.upf
Cl 35.45 Cl.upf
O 16.00 O.upf
CELL_PARAMETERS angstrom
11.0806 0.0000 0.0000
0.0000 11.0806 0.0000
0.0000 0.0000 3.8603
ATOMIC_POSITIONS angstrom
Nb 1.4085 1.4085 0.0000
Nb 4.1318 6.9488 1.9301
Nb 6.9488 4.1318 1.9301
Nb 9.6722 9.6722 0.0000
Cl 1.1634 3.6896 0.0000
Cl 1.1580 9.9226 0.0000
Cl 1.8507 6.7037 1.9301
Cl 3.6896 1.1634 0.0000
Cl 4.3823 4.3823 1.9301
Cl 4.3769 9.2299 1.9301
Cl 6.7037 1.8507 1.9301
Cl 6.6983 6.6983 1.9301
Cl 7.3910 9.9172 0.0000
Cl 9.2299 4.3769 1.9301
Cl 9.9226 1.1580 0.0000
Cl 9.9172 7.3910 0.0000
O 1.2686 1.2686 1.9301
O 4.2717 6.8089 0.0000
O 6.8089 4.2717 0.0000
O 9.8120 9.8120 1.9301

=====

Record 4
! PBE NaSrNdTe3, optimized geometry; values from VASP
! * uncorrected energy: -25.11 eV per formula unit
! * total magnetic moment: 0.0 μB/f.u.
! * V: 33.9 Å³/atom
&SYSTEM
  ibrav = 0, nat = 12, ntyp = 4
/
ATOMIC_SPECIES
Na 22.99 Na.upf
Sr 87.62 Sr.upf
Nd 144.24 Nd.upf
Te 127.60 Te.upf
CELL_PARAMETERS angstrom
2.3070 -7.4955 0.0000
2.3070 7.4955 0.0000
0.0000 0.0000 11.7516
ATOMIC_POSITIONS angstrom
Na 2.3070 7.1938 8.8137
Na 2.3070 -7.1938 2.9379
Sr 2.3070 3.6491 2.9379
Sr 2.3070 -3.6491 8.8137
Nd 2.3070 0.0000 0.0000
Nd 2.3070 0.0000 5.8758
Te 2.3070 5.3487 6.5435
Te 2.3070 5.3487 11.0838
Te 2.3070 1.4488 8.8137
Te 2.3070 -1.4488 2.9379
Te 2.3070 -5.3487 0.6677
Te 2.3070 -5.3487 5.2081